# 1
Computed, not measured: a geometry-optimized Tl12CdPb2 structure at the PBE level of DFT.

Results
The crystal system is orthorhombic. The calculation puts the energy at -2.32 eV/atom.

POSCAR file:
```
Tl12CdPb2
1.0
4.670 -4.677 0.000
4.670 4.677 0.000
0.000 0.000 22.463
Tl Cd Pb
24 2 4
Direct
0.001 0.501 0.096
0.001 0.999 0.904
0.078 0.578 0.568
0.078 0.922 0.432
0.250 0.250 0.199
0.250 0.250 0.333
0.250 0.250 0.667
0.250 0.250 0.801
0.422 0.578 0.432
0.422 0.922 0.568
0.499 0.501 0.904
0.499 0.999 0.096
0.501 0.001 0.904
0.501 0.499 0.096
0.578 0.078 0.432
0.578 0.422 0.568
0.750 0.750 0.199
0.750 0.750 0.333
0.750 0.750 0.667
0.750 0.750 0.801
0.922 0.078 0.568
0.922 0.422 0.432
0.999 0.001 0.096
0.999 0.499 0.904
0.250 0.750 0.000
0.750 0.250 0.000
0.250 0.750 0.263
0.250 0.750 0.737
0.750 0.250 0.263
0.750 0.250 0.737
```

# 2
Computed, not measured: a geometry-optimized TlCd2Pb5 structure at the PBE level of DFT.

Results
The crystal system is orthorhombic. The value obtained for the distance to the lowest polymorph of the same formula is 0 meV/atom. The calculation puts the energy at -2.80 eV/atom.

POSCAR file:
```
TlCd2Pb5
1.0
0.000 4.940 5.143
4.669 0.000 5.143
4.669 4.940 0.000
Tl Cd Pb
1 2 5
Direct
0.000 0.000 0.000
0.000 0.500 0.000
0.500 0.000 0.500
0.000 0.000 0.500
0.000 0.500 0.500
0.500 0.000 0.000
0.500 0.500 0.000
0.500 0.500 0.500
```

# 3
Computed, not measured: a geometry-optimized Tl4Cd4Pb5 structure at the PBE level of DFT.

Results
The crystal system is tetragonal. The calculation puts the energy at -2.40 eV/atom.

POSCAR file:
```
Tl4Cd4Pb5
1.0
-6.056 6.056 2.563
6.056 -6.056 2.563
6.056 6.056 -2.563
Tl Cd Pb
4 4 5
Direct
0.158 0.230 0.388
0.230 0.842 0.073
0.770 0.158 0.927
0.842 0.770 0.612
0.066 0.609 0.675
0.391 0.066 0.457
0.609 0.934 0.543
0.934 0.391 0.325
0.000 0.000 0.000
0.300 0.470 0.769
0.470 0.700 0.170
0.530 0.300 0.830
0.700 0.530 0.231
```

# 4
Computed, not measured: a geometry-optimized TlCd2Pb structure at the PBE level of DFT.

Results
The crystal system is tetragonal. The calculation puts the energy at -1.91 eV/atom.

POSCAR file:
```
TlCd2Pb
1.0
-2.401 2.401 4.751
2.401 -2.401 4.751
2.401 2.401 -4.751
Tl Cd Pb
1 2 1
Direct
0.000 0.000 0.000
0.250 0.750 0.500
0.500 0.500 0.000
0.750 0.250 0.500
```

# 5
Computed, not measured: a geometry-optimized Tl7Cd2Pb2 structure at the PBE level of DFT.

Results
The crystal system is monoclinic. The value obtained for the distance to the lowest polymorph of the same formula is 0 meV/atom. The calculation puts the energy at -2.31 eV/atom.

POSCAR file:
```
Tl7Cd2Pb2
1.0
3.430 -4.927 0.000
3.430 4.927 0.000
-0.147 0.000 9.835
Tl Cd Pb
7 2 2
Direct
0.000 0.000 0.000
0.172 0.559 0.148
0.265 0.265 0.714
0.441 0.828 0.852
0.559 0.172 0.148
0.735 0.735 0.286
0.828 0.441 0.852
0.193 0.193 0.372
0.807 0.807 0.628
0.268 0.732 0.500
0.732 0.268 0.500
```

# 6
Computed, not measured: a geometry-optimized Tl6Cd2Pb3 structure at the PBE level of DFT.

Results
The crystal system is triclinic. The calculation puts the energy at -2.44 eV/atom.

POSCAR file:
```
Tl6Cd2Pb3
1.0
6.294 0.000 0.000
-0.995 6.585 0.000
-1.149 -3.469 7.943
Tl Cd Pb
6 2 3
Direct
0.033 0.192 0.416
0.248 0.932 0.054
0.312 0.293 0.846
0.688 0.707 0.154
0.752 0.068 0.946
0.967 0.808 0.584
0.407 0.631 0.662
0.593 0.369 0.338
0.151 0.526 0.215
0.500 0.000 0.500
0.849 0.474 0.785
```

# 7
Computed, not measured: a geometry-optimized Tl3Cd2Pb6 structure at the PBE level of DFT.

Results
The crystal system is trigonal. The calculation puts the energy at -2.81 eV/atom.

POSCAR file:
```
Tl3Cd2Pb6
1.0
1.738 1.003 31.573
-1.738 1.003 31.573
0.000 -2.007 31.573
Tl Cd Pb
3 2 6
Direct
0.000 0.000 0.000
0.271 0.271 0.271
0.729 0.729 0.729
0.456 0.456 0.456
0.544 0.544 0.544
0.094 0.094 0.094
0.182 0.182 0.182
0.364 0.364 0.364
0.636 0.636 0.636
0.818 0.818 0.818
0.906 0.906 0.906
```

# 8
Computed, not measured: a geometry-optimized Tl2CdPb structure at the PBE level of DFT.

Results
The crystal system is tetragonal. The calculation puts the energy at -2.21 eV/atom.

POSCAR file:
```
Tl2CdPb
1.0
-4.361 4.361 3.230
4.361 -4.361 3.230
4.361 4.361 -3.230
Tl Cd Pb
4 2 2
Direct
0.106 0.625 0.981
0.375 0.356 0.481
0.644 0.125 0.019
0.875 0.894 0.519
0.000 0.000 0.000
0.750 0.250 0.500
0.250 0.750 0.500
0.500 0.500 0.000
```

# 9
Computed, not measured: a geometry-optimized Tl8Cd2Pb structure at the PBE level of DFT.

Results
The crystal system is monoclinic. The value obtained for the distance to the lowest polymorph of the same formula is 0 meV/atom. The calculation puts the energy at -2.17 eV/atom.

POSCAR file:
```
Tl8Cd2Pb
1.0
5.094 -6.455 0.000
5.094 6.455 0.000
-0.017 0.000 5.160
Tl Cd Pb
8 2 1
Direct
0.170 0.170 0.998
0.190 0.461 0.498
0.245 0.755 0.000
0.461 0.190 0.498
0.539 0.810 0.502
0.755 0.245 0.000
0.810 0.539 0.502
0.830 0.830 0.002
0.115 0.885 0.500
0.885 0.115 0.500
0.500 0.500 0.000
```

# 10
Computed, not measured: a geometry-optimized Tl2CdPb structure at the PBE level of DFT.

Results
The crystal system is tetragonal. The calculation puts the energy at -2.31 eV/atom.

POSCAR file:
```
Tl2CdPb
1.0
3.759 0.000 0.000
0.000 3.759 0.000
0.000 0.000 8.299
Tl Cd Pb
2 1 1
Direct
0.000 0.000 0.000
0.500 0.500 0.266
0.000 0.000 0.496
0.500 0.500 0.727
```

# 11
Computed, not measured: a geometry-optimized Tl2CdPb structure at the PBE level of DFT.

Results
The crystal system is monoclinic. The calculation puts the energy at -2.29 eV/atom.

POSCAR file:
```
Tl2CdPb
1.0
3.372 -5.631 0.000
3.372 5.631 0.000
-1.184 0.000 3.111
Tl Cd Pb
2 1 1
Direct
0.000 0.500 0.000
0.500 0.000 0.000
0.000 0.000 0.500
0.500 0.500 0.500
```

no.,spin magnetization (μB/cell),ΔH_f (0 K) (meV per atom)
1,0.0,124
2,0.0,42
3,0.0,39
4,0.0,62
5,0.0,38
6,0.0,28
7,0.0,22
8,0.0,124
9,0.0,51
10,0.0,27
11,0.0,51